A relaxed structure of SrSc2Fe, computed with PBE.

The structure in extended XYZ format:
```
4
Lattice="-0.980 5.041 -2.247 0.958 -0.360 -5.512 -3.144 -3.174 3.386" Properties=species:S:1:pos:R:3 pbc="T T T"
Sc -1.099 -0.596 -3.003
Sc 0.000 0.000 0.000
Fe -2.068 2.104 -1.370
Sr -0.011 2.341 -3.879
```

Relative energy among the computed polymorphs   1.930 eV/f.u.
ΔE_f   2.32 eV/f.u.
SG   I-4m2
Density of states at the Fermi level   6.541 states/eV/cell